# PBE-GGA TlCu3Os, relaxed
data_TlCu3Os
_chemical_formula_sum 'Tl1 Cu3 Os1'
_symmetry_space_group_name_H-M 'P 1'
_symmetry_Int_Tables_number 1
_cell_length_a 4.734
_cell_length_b 4.734
_cell_length_c 4.734
_cell_angle_alpha 90.00
_cell_angle_beta 90.00
_cell_angle_gamma 90.00
loop_
_symmetry_equiv_pos_as_xyz
'x,y,z'
loop_
_atom_site_label
_atom_site_fract_x
_atom_site_fract_y
_atom_site_fract_z
Tl1 0.000 0.000 0.000
Cu1 0.000 0.500 0.500
Cu2 0.500 0.000 0.500
Cu3 0.500 0.500 0.000
Os1 0.500 0.500 0.500
# Crystal system ... cubic
# Relative energy among the computed polymorphs ... 0.00 eV/f.u.
# Volume ... 21.22 Å³ per atom
# ΔE_f ... 5.8 eV per formula unit
# Uncorrected energy ... -20.080 eV for the cell shown
# DOS at the Fermi energy ... 6.8 states/eV/cell

***

# PBE-GGA AgOsO3, relaxed
data_AgOsO3
_chemical_formula_sum 'Ag1 Os1 O3'
_symmetry_space_group_name_H-M 'P 1'
_symmetry_Int_Tables_number 1
_cell_length_a 3.996
_cell_length_b 3.996
_cell_length_c 3.996
_cell_angle_alpha 90.00
_cell_angle_beta 90.00
_cell_angle_gamma 90.00
loop_
_symmetry_equiv_pos_as_xyz
'x,y,z'
loop_
_atom_site_label
_atom_site_fract_x
_atom_site_fract_y
_atom_site_fract_z
Ag1 0.000 0.000 0.000
Os1 0.500 0.500 0.500
O1 0.000 0.000 0.500
O2 0.000 0.500 0.000
O3 0.500 0.000 0.000
# Crystal system ... cubic
# Formation energy (no corrections) ... 1.25 eV per atom
# Volume ... 12.76 Å³ per atom
# Uncorrected energy ... -22.705 eV for the cell shown
# DOS at the Fermi energy ... 2.1 states/eV/cell